First-principles (PBE) data for crystalline MgRh2Se at its relaxed geometry, as listed in the Alexandria database.

POSCAR file:
```
MgRh2Se
1.0
-3.046 3.046 4.780
3.046 -3.046 4.780
3.046 3.046 -4.780
Mg Rh Se
2 4 2
Cartesian
0.000 0.000 0.000 Mg
0.000 3.046 2.390 Mg
1.523 -1.294 3.585 Rh
1.752 1.523 1.195 Rh
1.523 4.339 -1.195 Rh
1.294 1.523 5.975 Rh
3.046 0.000 2.390 Se
0.000 0.000 4.780 Se
```

Output
- uncorrected formation energy (eV/atom) = 0.195


First-principles (PBE) data for crystalline Rb2MnAs at its relaxed geometry, as listed in the Alexandria database.

POSCAR file:
```
Rb2MnAs
1.0
-6.825 6.825 2.371
6.825 -6.825 2.371
6.825 6.825 -2.371
Rb Mn As
4 2 2
Cartesian
0.419 3.413 0.593 Rb
-3.413 6.407 1.778 Rb
-0.419 10.238 0.593 Rb
3.413 7.244 1.778 Rb
6.825 0.000 1.186 Mn
0.000 0.000 2.371 Mn
0.000 0.000 0.000 As
0.000 6.825 1.186 As
```

Output
- formation energy from the elements (eV/atom) = 0.05


First-principles (PBE) data for crystalline GaRhSN2 at its relaxed geometry, as listed in the Alexandria database.

POSCAR file:
```
GaRhSN2
1.0
3.749 0.000 0.000
0.000 3.749 0.000
0.000 0.000 5.126
Ga Rh S N
1 1 1 2
Cartesian
0.000 0.000 0.000 Ga
1.874 1.874 2.563 Rh
0.000 0.000 2.563 S
0.000 1.874 0.000 N
1.874 0.000 0.000 N
```

Output
- ΔE to the lowest computed polymorph (meV per atom) = 496
- uncorrected formation energy (eV/atom) = 1.414


First-principles (PBE) data for crystalline Ac12NdDy3 at its relaxed geometry, as listed in the Alexandria database.

POSCAR file:
```
Ac12NdDy3
1.0
5.500 0.000 0.000
0.000 5.500 0.000
0.000 0.000 21.976
Ac Nd Dy
12 1 3
Cartesian
0.000 0.000 0.000 Ac
0.000 0.000 5.471 Ac
0.000 0.000 10.988 Ac
0.000 0.000 16.505 Ac
0.000 2.750 2.735 Ac
0.000 2.750 8.210 Ac
0.000 2.750 13.767 Ac
0.000 2.750 19.242 Ac
2.750 0.000 2.735 Ac
2.750 0.000 8.210 Ac
2.750 0.000 13.767 Ac
2.750 0.000 19.242 Ac
2.750 2.750 10.988 Nd
2.750 2.750 0.000 Dy
2.750 2.750 5.470 Dy
2.750 2.750 16.506 Dy
```

Output
- formation energy from the elements (eV/atom) = 0.03


First-principles (PBE) data for crystalline Cs2NaPdO4 at its relaxed geometry, as listed in the Alexandria database.

POSCAR file:
```
Cs2NaPdO4
1.0
0.000 6.900 10.299
3.064 0.000 10.299
3.064 6.900 0.000
Cs Na Pd O
4 2 2 8
Cartesian
2.298 5.175 1.067 Cs
3.829 8.625 6.216 Cs
2.298 5.175 14.381 Cs
3.829 8.625 19.531 Cs
0.766 1.725 2.575 Na
5.361 12.076 18.023 Na
2.298 5.175 7.724 Pd
3.829 8.625 12.873 Pd
3.627 3.824 7.387 O
3.627 6.527 8.061 O
5.159 7.274 13.210 O
5.159 9.977 12.536 O
0.968 3.824 8.061 O
0.968 6.527 7.387 O
2.500 7.274 12.536 O
2.500 9.977 13.210 O
```

Output
- uncorrected formation energy (eV/atom) = -0.768


First-principles (PBE) data for crystalline PdRuPb2O6 at its relaxed geometry, as listed in the Alexandria database.

POSCAR file:
```
PdRuPb2O6
1.0
5.630 0.000 0.000
0.000 5.630 0.000
0.000 0.000 4.444
Pd Ru Pb O
1 1 2 6
Cartesian
0.000 0.000 0.000 Pd
2.815 2.815 4.308 Ru
0.000 2.815 1.886 Pb
2.815 0.000 1.886 Pb
0.000 0.000 2.328 O
1.496 1.496 0.356 O
1.496 4.134 0.356 O
2.815 2.815 2.498 O
4.134 1.496 0.356 O
4.134 4.134 0.356 O
```

Output
- uncorrected formation energy (eV/atom) = -0.764


First-principles (PBE) data for crystalline Pm7SmHg2 at its relaxed geometry, as listed in the Alexandria database.

POSCAR file:
```
Pm7SmHg2
1.0
4.604 -7.866 0.000
4.604 7.866 0.000
0.000 0.000 5.391
Pm Sm Hg
7 1 2
Cartesian
0.000 0.000 0.000 Pm
2.922 1.888 0.000 Pm
4.604 3.654 2.696 Pm
2.922 -1.888 0.000 Pm
6.286 1.888 0.000 Pm
4.604 -3.654 2.696 Pm
6.286 -1.888 0.000 Pm
4.604 0.000 2.696 Sm
4.604 4.813 0.000 Hg
4.604 -4.813 0.000 Hg
```

Output
- formation energy from the elements (eV/atom) = 0.26


First-principles (PBE) data for crystalline MnNb2Ga at its relaxed geometry, as listed in the Alexandria database.

POSCAR file:
```
MnNb2Ga
1.0
1.507 0.870 8.316
-1.507 0.870 8.316
0.000 -1.740 8.316
Mn Nb Ga
1 2 1
Cartesian
0.000 0.000 0.000 Mn
0.000 0.000 6.438 Nb
0.000 0.000 18.510 Nb
0.000 0.000 12.474 Ga
```

Output
- formation energy from the elements (eV/atom) = 0.12


First-principles (PBE) data for crystalline Cu8PtAu6 at its relaxed geometry, as listed in the Alexandria database.

POSCAR file:
```
Cu8PtAu6
1.0
10.040 0.000 0.000
-5.020 8.695 0.000
0.000 0.000 2.765
Cu Pt Au
8 1 6
Cartesian
-0.544 2.369 0.000 Cu
-2.697 7.981 0.000 Cu
1.779 1.655 0.000 Cu
0.000 5.796 0.000 Cu
5.020 2.898 0.000 Cu
3.241 7.040 0.000 Cu
7.717 0.713 0.000 Cu
5.564 6.326 0.000 Cu
0.000 0.000 1.383 Pt
-2.248 5.732 1.383 Au
1.180 3.882 1.383 Au
3.952 0.919 1.383 Au
1.068 7.775 1.383 Au
3.840 4.812 1.383 Au
7.267 2.963 1.383 Au
```

Output
- formation energy from the elements (eV/atom) = 0.08


First-principles (PBE) data for crystalline Tm3InHg3 at its relaxed geometry, as listed in the Alexandria database.

POSCAR file:
```
Tm3InHg3
1.0
5.007 -5.033 0.000
5.007 5.033 0.000
-0.035 0.000 7.287
Tm In Hg
6 2 6
Cartesian
2.471 2.211 5.471 Tm
0.328 0.000 1.852 Tm
2.471 -2.211 5.471 Tm
7.507 2.211 1.816 Tm
9.650 0.000 5.435 Tm
7.507 -2.211 1.816 Tm
3.239 0.000 3.331 In
6.740 0.000 3.955 In
4.989 2.508 3.643 Hg
5.007 2.489 0.000 Hg
2.983 0.000 0.275 Hg
6.995 0.000 7.012 Hg
5.007 -2.489 0.000 Hg
4.989 -2.508 3.643 Hg
```

Output
- formation energy from the elements (eV/atom) = -0.33


First-principles (PBE) data for crystalline KCd10In2 at its relaxed geometry, as listed in the Alexandria database.

POSCAR file:
```
KCd10In2
1.0
0.000 7.272 7.292
3.095 0.000 7.292
3.095 7.272 0.000
K Cd In
1 10 2
Cartesian
0.000 0.000 0.000 K
1.547 3.636 0.000 Cd
3.095 2.630 4.729 Cd
3.095 5.679 5.747 Cd
3.095 2.630 9.856 Cd
3.095 5.679 8.838 Cd
1.547 3.636 7.292 Cd
3.095 8.866 5.747 Cd
3.095 11.915 4.729 Cd
3.095 8.866 8.838 Cd
3.095 11.915 9.856 Cd
1.547 0.000 3.646 In
1.547 7.272 3.646 In
```

Output
- formation energy from the elements (eV/atom) = -0.02


First-principles (PBE) data for crystalline Li3SmAu2 at its relaxed geometry, as listed in the Alexandria database.

POSCAR file:
```
Li3SmAu2
1.0
7.204 -2.065 0.000
7.204 2.065 0.000
-5.074 0.000 7.691
Li Sm Au
6 2 4
Cartesian
-1.135 0.000 3.124 Li
1.742 0.000 3.279 Li
4.557 0.000 2.427 Li
4.778 0.000 5.264 Li
7.593 0.000 4.412 Li
10.470 0.000 4.567 Li
1.810 0.000 0.059 Sm
7.525 0.000 7.632 Sm
-0.926 0.000 5.750 Au
2.126 0.000 6.053 Au
7.209 0.000 1.639 Au
10.261 0.000 1.941 Au
```

Output
- formation energy from the elements (eV/atom) = -0.51


M_tot
In order: 0.0, 8.0, 2.9, 0.0, 6.1, 1.2, 0.0, 0.0, 0.0, 0.0, 0.0, 0.0
Unit: μB/cell